Record 1
The following is a PBE calculation of an optimized crystal structure of Ce12MgOs6, from Alexandria.

POSCAR file:
```
Ce12MgOs6
1.0
8.3015 -0.1003 -0.1412
-2.1550 8.0176 -0.1412
-2.1550 -2.7758 7.5230
Ce Mg Os
12 1 6
direct
0.8884 0.1116 0.5000 Ce
0.8360 0.5753 0.5753 Ce
0.5753 0.5753 0.8360 Ce
0.4247 0.1640 0.4247 Ce
0.4247 0.4247 0.1640 Ce
0.1640 0.4247 0.4247 Ce
0.1116 0.5000 0.8884 Ce
0.5000 0.8884 0.1116 Ce
0.1116 0.8884 0.5000 Ce
0.8884 0.5000 0.1116 Ce
0.5000 0.1116 0.8884 Ce
0.5753 0.8360 0.5753 Ce
0.0000 0.0000 0.0000 Mg
0.7028 0.2780 0.2780 Os
0.2780 0.2780 0.7028 Os
0.2780 0.7028 0.2780 Os
0.7220 0.7220 0.2972 Os
0.2972 0.7220 0.7220 Os
0.7220 0.2972 0.7220 Os
```

Results
**Energy relative to the elements**: 0.01 eV per atom
**E_tot**: -7.37 eV per atom



Record 2
The following is a PBE calculation of an optimized crystal structure of SrLiZrW2, from Alexandria.

POSCAR file:
```
SrLiZrW2
1.0
4.9147 0.0000 0.0000
0.0000 5.9918 0.0000
0.0000 0.0000 4.9147
Sr Zr W Li
1 1 2 1
direct
0.0000 0.5000 0.0000 Sr
0.0000 0.0000 0.0000 Zr
0.0000 0.0000 0.5000 W
0.5000 0.0000 0.0000 W
0.5000 0.5000 0.5000 Li
```

Results
**Energy relative to the elements**: 1.85 eV per atom
**E_tot**: -5.76 eV per atom



Record 3
The following is a PBE calculation of an optimized crystal structure of K2LiAlH6, from Alexandria.

POSCAR file:
```
K2LiAlH6
1.0
9.5919 0.0008 0.0005
7.9790 5.3235 0.0005
7.9790 2.4178 4.7428
Al H K Li
2 12 4 2
direct
0.0000 0.0000 0.0000 Al
0.5000 0.5000 0.5000 Al
0.3941 0.3941 0.8303 H
0.3941 0.8303 0.3941 H
0.8303 0.3941 0.3941 H
0.6059 0.6059 0.1697 H
0.1697 0.6059 0.6059 H
0.6059 0.1697 0.6059 H
0.1895 0.1895 0.7333 H
0.1895 0.7333 0.1895 H
0.7333 0.1895 0.1895 H
0.8105 0.8105 0.2667 H
0.2667 0.8105 0.8105 H
0.8105 0.2667 0.8105 H
0.8729 0.8729 0.8729 K
0.1271 0.1271 0.1271 K
0.7136 0.7136 0.7136 K
0.2864 0.2864 0.2864 K
0.5926 0.5926 0.5926 Li
0.4074 0.4074 0.4074 Li
```

Results
**E_tot**: -3.09 eV per atom



Record 4
The following is a PBE calculation of an optimized crystal structure of Co2AsPb, from Alexandria.

POSCAR file:
```
Co2AsPb
1.0
3.0405 0.0000 0.0000
0.0000 3.0497 0.0117
0.0000 1.4808 6.9413
As Co Pb
1 2 1
direct
0.5000 0.7500 0.7500 As
0.0000 0.1657 0.9324 Co
0.0000 0.3343 0.5676 Co
0.5000 0.2500 0.2500 Pb
```

Results
**Excess energy over the best structure of this formula in the dataset**: 140 meV per atom
**Energy relative to the elements**: 0.25 eV per atom
**E_tot**: -5.39 eV per atom



Record 5
The following is a PBE calculation of an optimized crystal structure of KFeSe, from Alexandria.

POSCAR file:
```
KFeSe
1.0
-0.1194 1.7385 -3.8039
-1.9179 -3.6538 0.6915
-4.3645 2.5362 1.2961
Fe K Se
1 1 1
direct
0.0000 0.0000 0.8334 Fe
0.6667 0.3333 0.3333 K
0.3333 0.6667 0.8333 Se
```

Results
**Excess energy over the best structure of this formula in the dataset**: 117 meV per atom
**E_tot**: -4.60 eV per atom



Record 6
The following is a PBE calculation of an optimized crystal structure of ScTa2Ag, from Alexandria.

POSCAR file:
```
ScTa2Ag
1.0
2.9350 0.0000 0.0000
0.0000 2.9350 0.0000
0.0000 0.0000 8.8104
Ag Sc Ta
1 1 2
direct
0.5000 0.5000 0.2500 Ag
0.5000 0.5000 0.7500 Sc
0.0000 0.0000 0.0053 Ta
0.0000 0.0000 0.4947 Ta
```

Results
**Excess energy over the best structure of this formula in the dataset**: 169 meV per atom
**Energy relative to the elements**: 0.27 eV per atom
**E_tot**: -7.95 eV per atom



Record 7
The following is a PBE calculation of an optimized crystal structure of SrNpNi2S4, from Alexandria.

POSCAR file:
```
SrNpNi2S4
1.0
-4.6688 -1.4994 4.1002
0.5780 -4.2333 4.0925
-0.1002 1.9548 5.5832
Sr Np Ni S
1 1 2 4
direct
0.0000 0.0000 0.0000 Sr
0.5000 0.5000 0.5000 Np
0.2445 0.2555 0.2555 Ni
0.7555 0.7445 0.7445 Ni
0.4925 0.0357 0.5085 S
0.0366 0.9643 0.4915 S
0.9634 0.5085 0.0357 S
0.5075 0.4915 0.9643 S
```

Results
**E_tot**: -6.29 eV per atom



Record 8
The following is a PBE calculation of an optimized crystal structure of K3NpO4, from Alexandria.

POSCAR file:
```
K3NpO4
1.0
-0.0326 6.2158 -0.6791
-3.6552 -1.6804 5.2807
6.0825 0.5096 4.3723
Np K O
2 6 8
direct
0.7500 0.0000 0.8855 Np
0.2500 0.0000 0.1145 Np
0.7500 0.0000 0.3853 K
0.2500 0.0000 0.6147 K
0.7500 0.5000 0.6343 K
0.7500 0.5000 0.1218 K
0.2500 0.5000 0.3657 K
0.2500 0.5000 0.8782 K
0.9345 0.2059 0.6913 O
0.4908 0.1805 0.9134 O
0.4345 0.2059 0.3087 O
0.9908 0.1805 0.0866 O
0.0092 0.8195 0.9134 O
0.5655 0.7941 0.6913 O
0.5092 0.8195 0.0866 O
0.0655 0.7941 0.3087 O
```

Results
**Excess energy over the best structure of this formula in the dataset**: 0 meV per atom
**E_tot**: -6.72 eV per atom



Record 9
The following is a PBE calculation of an optimized crystal structure of Ac12Ga2Si5, from Alexandria.

POSCAR file:
```
Ac12Ga2Si5
1.0
-6.0398 -4.4839 2.0181
8.3813 -2.3078 4.9278
-3.8829 7.6319 5.3361
Ac Ga Si
12 2 5
direct
0.9834 0.9667 0.1864 Ac
0.0887 0.6520 0.9036 Ac
0.5634 0.6520 0.9036 Ac
0.0884 0.6963 0.4332 Ac
0.6079 0.6963 0.4332 Ac
0.4966 0.9932 0.7148 Ac
0.5034 0.0068 0.2852 Ac
0.9116 0.3037 0.5668 Ac
0.3921 0.3037 0.5668 Ac
0.9113 0.3480 0.0964 Ac
0.4366 0.3480 0.0964 Ac
0.0166 0.0333 0.8136 Ac
0.6669 0.0000 0.0000 Ga
0.3331 0.0000 0.0000 Ga
0.3018 0.6035 0.6382 Si
0.3191 0.6382 0.1752 Si
0.0000 0.0000 0.5000 Si
0.6809 0.3618 0.8248 Si
0.6982 0.3965 0.3618 Si
```

Results
**E_tot**: -4.62 eV per atom



Record 10
The following is a PBE calculation of an optimized crystal structure of LiFeSb2, from Alexandria.

POSCAR file:
```
LiFeSb2
1.0
4.6059 0.3006 0.3722
1.8901 2.3874 3.4887
2.1979 -2.2323 3.4101
Sb Fe Li
2 1 1
direct
0.2500 0.2500 0.2500 Sb
0.7500 0.7500 0.7500 Sb
0.5000 0.5000 0.5000 Fe
0.0000 0.0000 0.0000 Li
```

Results
**Excess energy over the best structure of this formula in the dataset**: 153 meV per atom
**E_tot**: -4.60 eV per atom



Record 11
The following is a PBE calculation of an optimized crystal structure of Ba5Mg, from Alexandria.

POSCAR file:
```
Ba5Mg
1.0
9.1612 0.0000 0.0000
0.0000 9.1612 0.0000
-4.5806 -4.5806 8.1763
Ba Mg
10 2
direct
0.0000 0.0000 0.0000 Ba
0.5000 0.5000 0.0000 Ba
0.3034 0.8034 0.2821 Ba
0.4788 0.3034 0.2821 Ba
0.8034 0.9788 0.2821 Ba
0.5212 0.6966 0.7179 Ba
0.1966 0.0212 0.7179 Ba
0.0212 0.5212 0.7179 Ba
0.6966 0.1966 0.7179 Ba
0.9788 0.4788 0.2821 Ba
0.2500 0.2500 0.5000 Mg
0.7500 0.7500 0.5000 Mg
```

Results
**Excess energy over the best structure of this formula in the dataset**: 84 meV per atom
**Energy relative to the elements**: 0.08 eV per atom
**E_tot**: -1.79 eV per atom



Record 12
The following is a PBE calculation of an optimized crystal structure of SrAc3Tl2, from Alexandria.

POSCAR file:
```
SrAc3Tl2
1.0
5.9182 0.0000 0.0000
-2.9591 10.2388 -0.7474
0.0000 -5.3548 8.3163
Sr Ac Tl
2 6 4
direct
0.8622 0.7243 0.9338 Sr
0.1378 0.2757 0.0662 Sr
0.3146 0.6292 0.6229 Ac
0.9397 0.8795 0.5976 Ac
0.6204 0.2407 0.7188 Ac
0.3796 0.7593 0.2812 Ac
0.0603 0.1205 0.4024 Ac
0.6854 0.3708 0.3771 Ac
0.5211 0.0422 0.8779 Tl
0.4789 0.9578 0.1221 Tl
0.7730 0.5461 0.1656 Tl
0.2270 0.4539 0.8344 Tl
```

Results
**Excess energy over the best structure of this formula in the dataset**: 88 meV per atom
**Energy relative to the elements**: -0.17 eV per atom
**E_tot**: -3.29 eV per atom